Record 1
The following is a PBE calculation of Li7UO6 after structural relaxation, from Alexandria via LeMat-Bulk.

As for the total magnetization: 1.00 μB/cell. The uncorrected formation energy is -2.255 eV per atom. The space group is R3 (146).

Cell and atoms, written as CIF:
```
data_Li7UO6
_cell_length_a 6.1625
_cell_length_b 6.1625
_cell_length_c 6.1625
_cell_angle_alpha 55.26
_cell_angle_beta 55.26
_cell_angle_gamma 55.26
_space_group_name_H-M_alt 'P 1'
_space_group_IT_number 1
_space_group_name_Hall 'P 1'
loop_
_atom_site_label
_atom_site_fract_x
_atom_site_fract_y
_atom_site_fract_z
Li1 0.0000 0.0000 0.0000
Li2 0.0850 0.4743 0.8555
Li3 0.2791 0.8400 0.5808
Li4 0.4743 0.8555 0.0850
Li5 0.5808 0.2791 0.8400
Li6 0.8400 0.5808 0.2791
Li7 0.8555 0.0850 0.4743
U1 0.3540 0.3540 0.3540
O1 0.1489 0.7391 0.4295
O2 0.2336 0.5913 0.9811
O3 0.4295 0.1489 0.7391
O4 0.5913 0.9811 0.2336
O5 0.7391 0.4295 0.1489
O6 0.9811 0.2336 0.5913
```

Record 2
The following is a PBE calculation of AcDyN after structural relaxation, from Alexandria via LeMat-Bulk.

As for the total magnetization: 0.00 μB/cell. The uncorrected formation energy is -0.806 eV per atom. The space group is P3m1 (156). As for the excess energy over the best structure of this formula in the dataset: 0.000 eV per formula unit.

Cell and atoms, written as CIF:
```
data_AcDyN
_cell_length_a 3.6457
_cell_length_b 3.6457
_cell_length_c 6.7272
_cell_angle_alpha 90.00
_cell_angle_beta 90.00
_cell_angle_gamma 120.00
_space_group_name_H-M_alt 'P 1'
_space_group_IT_number 1
_space_group_name_Hall 'P 1'
loop_
_atom_site_label
_atom_site_fract_x
_atom_site_fract_y
_atom_site_fract_z
Ac1 0.0000 0.0000 0.0000
Dy1 0.6667 0.3333 0.5706
N1 0.3333 0.6667 0.7227
```

Record 3
The following is a PBE calculation of CeInCl4 after structural relaxation, from Alexandria via LeMat-Bulk.

As for the total magnetization: 2.00 μB/cell. The uncorrected formation energy is -1.737 eV per atom. The space group is C2/c (15).

Cell and atoms, written as CIF:
```
data_CeInCl4
_cell_length_a 9.0618
_cell_length_b 9.0618
_cell_length_c 7.5509
_cell_angle_alpha 104.38
_cell_angle_beta 104.38
_cell_angle_gamma 44.87
_space_group_name_H-M_alt 'P 1'
_space_group_IT_number 1
_space_group_name_Hall 'P 1'
loop_
_atom_site_label
_atom_site_fract_x
_atom_site_fract_y
_atom_site_fract_z
Ce1 0.0000 0.5000 0.0000
Ce2 0.5000 0.0000 0.5000
In1 0.2281 0.7719 0.7500
In2 0.7719 0.2281 0.2500
Cl1 0.0086 0.1881 0.9678
Cl2 0.1881 0.0086 0.4678
Cl3 0.2476 0.3740 0.3388
Cl4 0.3740 0.2476 0.8388
Cl5 0.6260 0.7524 0.1612
Cl6 0.7524 0.6260 0.6612
Cl7 0.8119 0.9914 0.5322
Cl8 0.9914 0.8119 0.0322
```

Record 4
The following is a PBE calculation of AcTbNi after structural relaxation, from Alexandria via LeMat-Bulk.

As for the total magnetization: 0.00 μB/cell. The space group is I4mm (107). As for the excess energy over the best structure of this formula in the dataset: 0.143 eV per formula unit. The value obtained for the formation energy is -0.117 eV/atom.

Cell and atoms, written as CIF:
```
data_AcTbNi
_cell_length_a 6.9568
_cell_length_b 6.9568
_cell_length_c 6.9568
_cell_angle_alpha 150.04
_cell_angle_beta 150.04
_cell_angle_gamma 42.88
_space_group_name_H-M_alt 'P 1'
_space_group_IT_number 1
_space_group_name_Hall 'P 1'
loop_
_atom_site_label
_atom_site_fract_x
_atom_site_fract_y
_atom_site_fract_z
Ac1 0.0000 0.0000 0.0000
Tb1 0.2607 0.2607 0.0000
Ni1 0.6536 0.6536 0.0000
```

Record 5
The following is a PBE calculation of YCrTcAg2 after structural relaxation, from Alexandria via LeMat-Bulk.

As for the total magnetization: 2.17 μB/cell. The space group is P4/mmm (123). The value obtained for the formation energy is 0.736 eV/atom.

Cell and atoms, written as CIF:
```
data_YCrTcAg2
_cell_length_a 5.1309
_cell_length_b 5.1309
_cell_length_c 4.3672
_cell_angle_alpha 90.00
_cell_angle_beta 90.00
_cell_angle_gamma 90.00
_space_group_name_H-M_alt 'P 1'
_space_group_IT_number 1
_space_group_name_Hall 'P 1'
loop_
_atom_site_label
_atom_site_fract_x
_atom_site_fract_y
_atom_site_fract_z
Y1 0.0000 0.0000 0.0000
Cr1 0.5000 0.5000 0.0000
Tc1 0.5000 0.5000 0.5000
Ag1 0.0000 0.5000 0.5000
Ag2 0.5000 0.0000 0.5000
```

Record 6
The following is a PBE calculation of Tb4NdZn after structural relaxation, from Alexandria via LeMat-Bulk.

As for the total magnetization: 0.00 μB/cell. The space group is P4/mmm (123). As for the excess energy over the best structure of this formula in the dataset: 0.000 eV per formula unit. The value obtained for the formation energy is -0.099 eV/atom.

Cell and atoms, written as CIF:
```
data_Tb4NdZn
_cell_length_a 3.5938
_cell_length_b 3.5938
_cell_length_c 13.7433
_cell_angle_alpha 90.00
_cell_angle_beta 90.00
_cell_angle_gamma 90.00
_space_group_name_H-M_alt 'P 1'
_space_group_IT_number 1
_space_group_name_Hall 'P 1'
loop_
_atom_site_label
_atom_site_fract_x
_atom_site_fract_y
_atom_site_fract_z
Tb1 0.0000 0.0000 0.1285
Tb2 0.0000 0.0000 0.8715
Tb3 0.5000 0.5000 0.3136
Tb4 0.5000 0.5000 0.6864
Nd1 0.0000 0.0000 0.5000
Zn1 0.5000 0.5000 0.0000
```

Record 7
The following is a PBE calculation of K2Ta2MnS6 after structural relaxation, from Alexandria via LeMat-Bulk.

As for the total magnetization: 0.95 μB/cell. The uncorrected formation energy is -0.988 eV per atom. The space group is C2/m (12).

Cell and atoms, written as CIF:
```
data_K2Ta2MnS6
_cell_length_a 6.0320
_cell_length_b 6.0320
_cell_length_c 7.9537
_cell_angle_alpha 96.70
_cell_angle_beta 96.70
_cell_angle_gamma 121.55
_space_group_name_H-M_alt 'P 1'
_space_group_IT_number 1
_space_group_name_Hall 'P 1'
loop_
_atom_site_label
_atom_site_fract_x
_atom_site_fract_y
_atom_site_fract_z
K1 0.1769 0.8231 0.0000
K2 0.8231 0.1769 0.0000
Ta1 0.3606 0.6394 0.5000
Ta2 0.6394 0.3606 0.5000
Mn1 0.0000 0.0000 0.5000
S1 0.0476 0.3769 0.6755
S2 0.2460 0.2460 0.2956
S3 0.3769 0.0476 0.6755
S4 0.6231 0.9524 0.3245
S5 0.7540 0.7540 0.7044
S6 0.9524 0.6231 0.3245
```

Record 8
The following is a PBE calculation of La3PmEr3 after structural relaxation, from Alexandria via LeMat-Bulk.

As for the total magnetization: 0.00 μB/cell. The space group is P6_3/m (176). As for the excess energy over the best structure of this formula in the dataset: 0.000 eV per formula unit. The value obtained for the formation energy is 0.038 eV/atom.

Cell and atoms, written as CIF:
```
data_La3PmEr3
_cell_length_a 9.7605
_cell_length_b 9.7605
_cell_length_c 5.8193
_cell_angle_alpha 90.00
_cell_angle_beta 90.00
_cell_angle_gamma 120.00
_space_group_name_H-M_alt 'P 1'
_space_group_IT_number 1
_space_group_name_Hall 'P 1'
loop_
_atom_site_label
_atom_site_fract_x
_atom_site_fract_y
_atom_site_fract_z
La1 0.0967 0.4727 0.2500
La2 0.3760 0.9033 0.2500
La3 0.4727 0.3760 0.7500
La4 0.5273 0.6240 0.2500
La5 0.6240 0.0967 0.7500
La6 0.9033 0.5273 0.7500
Pm1 0.3333 0.6667 0.7500
Pm2 0.6667 0.3333 0.2500
Er1 0.0457 0.2299 0.7500
Er2 0.1842 0.9543 0.7500
Er3 0.2299 0.1842 0.2500
Er4 0.7701 0.8158 0.7500
Er5 0.8158 0.0457 0.2500
Er6 0.9543 0.7701 0.2500
```

Record 9
The following is a PBE calculation of Na2HfMnCo after structural relaxation, from Alexandria via LeMat-Bulk.

As for the total magnetization: 3.54 μB/cell. The space group is P4/mmm (123). The value obtained for the formation energy is 1.267 eV/atom.

Cell and atoms, written as CIF:
```
data_Na2HfMnCo
_cell_length_a 4.8878
_cell_length_b 4.8878
_cell_length_c 4.5340
_cell_angle_alpha 90.00
_cell_angle_beta 90.00
_cell_angle_gamma 90.00
_space_group_name_H-M_alt 'P 1'
_space_group_IT_number 1
_space_group_name_Hall 'P 1'
loop_
_atom_site_label
_atom_site_fract_x
_atom_site_fract_y
_atom_site_fract_z
Na1 0.0000 0.5000 0.0000
Na2 0.5000 0.0000 0.0000
Hf1 0.0000 0.0000 0.5000
Mn1 0.5000 0.5000 0.5000
Co1 0.5000 0.5000 0.0000
```

Record 10
The following is a PBE calculation of K2NaCdCl after structural relaxation, from Alexandria via LeMat-Bulk.

As for the total magnetization: 0.00 μB/cell. The uncorrected formation energy is -0.637 eV per atom. The space group is P4/mmm (123).

Cell and atoms, written as CIF:
```
data_K2NaCdCl
_cell_length_a 6.1138
_cell_length_b 6.1138
_cell_length_c 5.4667
_cell_angle_alpha 90.00
_cell_angle_beta 90.00
_cell_angle_gamma 90.00
_space_group_name_H-M_alt 'P 1'
_space_group_IT_number 1
_space_group_name_Hall 'P 1'
loop_
_atom_site_label
_atom_site_fract_x
_atom_site_fract_y
_atom_site_fract_z
K1 0.0000 0.5000 0.0000
K2 0.5000 0.0000 0.0000
Na1 0.0000 0.0000 0.5000
Cd1 0.5000 0.5000 0.5000
Cl1 0.0000 0.0000 0.0000
```

Record 11
The following is a PBE calculation of Pm3NdSm5 after structural relaxation, from Alexandria via LeMat-Bulk.

As for the total magnetization: 0.00 μB/cell. The space group is C2/m (12). As for the excess energy over the best structure of this formula in the dataset: 1.793 eV per formula unit. The value obtained for the formation energy is 0.478 eV/atom.

Cell and atoms, written as CIF:
```
data_Pm3NdSm5
_cell_length_a 8.5884
_cell_length_b 8.5884
_cell_length_c 11.5377
_cell_angle_alpha 109.78
_cell_angle_beta 109.78
_cell_angle_gamma 59.03
_space_group_name_H-M_alt 'P 1'
_space_group_IT_number 1
_space_group_name_Hall 'P 1'
loop_
_atom_site_label
_atom_site_fract_x
_atom_site_fract_y
_atom_site_fract_z
Pm1 0.0000 0.0000 0.0000
Pm2 0.0153 0.0153 0.2723
Pm3 0.3733 0.3733 0.6970
Pm4 0.5000 0.5000 0.5000
Pm5 0.6267 0.6267 0.3030
Pm6 0.9847 0.9847 0.7277
Nd1 0.2343 0.2343 0.3224
Nd2 0.7657 0.7657 0.6776
Sm1 0.1297 0.1297 0.5701
Sm2 0.1932 0.5778 0.2152
Sm3 0.2461 0.2461 0.9391
Sm4 0.3281 0.6719 0.0000
Sm5 0.4222 0.8068 0.7848
Sm6 0.5778 0.1932 0.2152
Sm7 0.6719 0.3281 0.0000
Sm8 0.7539 0.7539 0.0609
Sm9 0.8068 0.4222 0.7848
Sm10 0.8703 0.8703 0.4299
```

Record 12
The following is a PBE calculation of Ga2Ag2Hg after structural relaxation, from Alexandria via LeMat-Bulk.

As for the total magnetization: 0.00 μB/cell. The space group is I4/mmm (139). As for the excess energy over the best structure of this formula in the dataset: 0.183 eV per formula unit. The value obtained for the formation energy is 0.080 eV/atom.

Cell and atoms, written as CIF:
```
data_Ga2Ag2Hg
_cell_length_a 7.3506
_cell_length_b 7.3506
_cell_length_c 7.3506
_cell_angle_alpha 149.72
_cell_angle_beta 149.72
_cell_angle_gamma 43.35
_space_group_name_H-M_alt 'P 1'
_space_group_IT_number 1
_space_group_name_Hall 'P 1'
loop_
_atom_site_label
_atom_site_fract_x
_atom_site_fract_y
_atom_site_fract_z
Ga1 0.2500 0.7500 0.5000
Ga2 0.7500 0.2500 0.5000
Ag1 0.1035 0.1035 0.0000
Ag2 0.8965 0.8965 0.0000
Hg1 0.5000 0.5000 0.0000
```